ReTcAu2 at its PBEsol-relaxed geometry. Source: Alexandria, functional SCAN.

a b c (Å): 2.7960 2.7960 8.0186
angles (deg): 90.00 90.00 90.00
Fractional coordinates of all 4 atoms:
Au 0.5000 0.5000 0.2610
Au 0.0000 0.0000 0.9887
Tc 0.5000 0.5000 0.7293
Re 0.0000 0.0000 0.5210

Values from the calculation:
- Magnetization: 0.0 μB per formula unit
- Crystal system: tetragonal
- Theoretical density: 18.0 g/cm³
- Formation enthalpy at 0 K: 0.160 eV per atom